First-principles (PBE) data for a geometry-optimized Ba3Bi3Pb structure, as listed in Alexandria.

Results
D(E_F) (states/eV per cell): 12.175
Electronic total energy (eV/atom): -3.6091
Formation energy (kJ/mol of atoms): -57
Offset from the most stable computed form (meV per atom): 80

a b c (Å): 10.5775 10.5775 7.2514
angles (deg): 90.00 90.00 120.00
Last column: nearest neighbours and their distance in Å.
Element x y z (fractional)
1 Ba 0.0526 0.3592 0.2500  5 Bi 3.58-3.63, 1 Pb 3.95
2 Ba 0.3066 0.9474 0.2500  5 Bi 3.58-3.63, 1 Pb 3.95
3 Ba 0.3592 0.3066 0.7500  5 Bi 3.58-3.63, 1 Pb 3.95
4 Ba 0.6408 0.6934 0.2500  5 Bi 3.58-3.63, 1 Pb 3.95
5 Ba 0.6934 0.0526 0.7500  5 Bi 3.58-3.63, 1 Pb 3.95
6 Ba 0.9474 0.6408 0.7500  5 Bi 3.58-3.63, 1 Pb 3.95
7 Bi 0.0538 0.3653 0.7500  1 Pb 3.08
8 Bi 0.3115 0.9462 0.7500  1 Pb 3.08
9 Bi 0.3653 0.3115 0.2500  1 Pb 3.08
10 Bi 0.6347 0.6885 0.7500  1 Pb 3.08
11 Bi 0.6885 0.0538 0.2500  1 Pb 3.08
12 Bi 0.9462 0.6347 0.2500  1 Pb 3.08
13 Pb 0.3333 0.6667 0.7500  3 Bi 3.08
14 Pb 0.6667 0.3333 0.2500  3 Bi 3.08

=====

First-principles (PBE) data for a geometry-optimized Ho4SnTe2Se structure, as listed in Alexandria.

Results
D(E_F) (states/eV per cell): 3.097
Electronic total energy (eV/atom): -5.2842
E_form (uncorrected) (eV/atom): -1.27

a b c (Å): 7.3776 4.2865 7.5019
angles (deg): 90.00 109.43 90.00
Last column: nearest neighbours and their distance in Å.
Element x y z (fractional)
1 Ho 0.2372 0.0000 0.2255  2 Se 2.92, 1 Sn 2.97, 3 Te 3.11-3.15
2 Ho 0.2517 0.5000 0.7674  1 Se 2.94, 2 Sn 2.98, 3 Te 3.10-3.13
3 Ho 0.7483 0.5000 0.2326  1 Se 2.94, 2 Sn 2.98, 3 Te 3.10-3.13
4 Ho 0.7628 0.0000 0.7745  2 Se 2.92, 1 Sn 2.97, 3 Te 3.11-3.15
5 Sn 0.5000 0.0000 0.0000  6 Ho 2.97-2.98
6 Te 0.0000 0.0000 0.5000  6 Ho 3.10-3.11
7 Te 0.5000 0.5000 0.5000  6 Ho 3.13-3.15
8 Se 0.0000 0.5000 0.0000  6 Ho 2.92-2.94

=====

First-principles (PBE) data for a geometry-optimized RbBH2 structure, as listed in Alexandria.

Results
Electronic total energy (eV/atom): -3.6180
Offset from the most stable computed form (meV per atom): 32

a b c (Å): 3.2530 6.4772 6.7050
angles (deg): 81.30 78.36 78.26
Last column: nearest neighbours and their distance in Å.
Element x y z (fractional)
1 Rb 0.0000 0.0000 0.0000  7 H 2.76-3.00
2 Rb 0.0199 0.5386 0.4002  5 H 2.74-2.93
3 B 0.2795 0.0263 0.4600  1 H 1.23
4 B 0.7097 0.0951 0.5313  2 H 1.25-1.36
5 H 0.3945 0.8913 0.3389  1 B 1.23
6 H 0.5096 0.9285 0.6115  2 B 1.36-1.38
7 H 0.5889 0.2160 0.6681  1 B 1.25
8 H 0.6169 0.6454 0.0664  1 H 2.50, 4 Rb 2.75-2.77

=====

First-principles (PBE) data for a geometry-optimized GePb2Se structure, as listed in Alexandria.

Results
D(E_F) (states/eV per cell): 2.717
Electronic total energy (eV/atom): -3.7860
Offset from the most stable computed form (meV per atom): 0
E_form (uncorrected) (eV/atom): 0.09

a b c (Å): 5.2795 5.2795 5.2795
angles (deg): 60.00 60.00 60.00
Last column: nearest neighbours and their distance in Å.
Element x y z (fractional)
1 Ge 0.0000 0.0000 0.0000  8 Pb 3.23
2 Pb 0.2500 0.2500 0.2500  4 Se 3.23, 4 Ge 3.23
3 Pb 0.7500 0.7500 0.7500  4 Se 3.23, 4 Ge 3.23
4 Se 0.5000 0.5000 0.5000  8 Pb 3.23